10
Lattice="-2.2749 5.1300 -3.0046 1.1229 -2.7883 -5.6111 -5.8232 -1.1078 -4.2255" Properties=species:S:1:pos:R:3 comment="Cs2YSeF6, relaxed, DFT GGA-PBE" formation_energy_uncorrected_mev_per_atom=-2706 n_ef_per_ev_atom=0.433 pbc="T T T"
Y 0.0000 0.0000 0.0000
F 0.2959 -0.8611 -4.9767
Cs -4.3370 2.5965 -5.7690
F -1.4479 3.2028 -3.6389
F -3.1428 1.4771 -8.5844
Cs -2.6381 -1.3627 -7.0722
F -3.8323 -0.2433 -4.2568
F -0.8716 1.7718 -6.5187
Se -0.5760 1.1708 -4.3078
F -0.2804 0.5699 -2.0969

***

20
Lattice="-8.0278 -1.2356 1.7138 1.9656 -7.5099 3.7927 1.3760 5.6853 10.5442" Properties=species:S:1:pos:R:3 comment="RbDyI3, relaxed, DFT GGA-PBE" e_above_lowest_polymorph_mev_per_atom=26 formation_energy_uncorrected_mev_per_atom=-1202 n_ef_per_ev_atom=0.597 pbc="T T T"
Rb 1.0121 -1.8750 4.3262
I 2.5167 -3.2801 11.7822
Rb -5.6982 -1.1851 11.7246
Rb -3.0415 3.1300 9.0512
I -7.2029 0.2200 4.2686
I -5.0791 -0.1630 8.0474
Dy -2.3431 -1.5301 8.0254
I -3.1480 -3.0621 5.5092
I -2.7696 -1.2961 14.4475
I -1.9165 -1.7640 1.6033
I -4.4713 2.3481 12.7046
I -3.3774 -3.8073 9.7903
I -1.3087 0.7472 6.2605
Dy -3.0311 -4.3727 2.7533
Dy 0.0000 0.0000 0.0000
I -1.5382 0.0020 10.5416
Dy 0.6880 2.8427 5.2721
I 0.3929 -2.8971 8.0034
Rb -1.6447 -6.1901 6.9996
I -0.2148 -5.4082 3.3462

***

11
Lattice="-6.4388 -3.4867 0.4131 4.7042 0.4675 5.6069 -3.1933 8.2872 0.5416" Properties=species:S:1:pos:R:3 comment="Cs2Np2ZnSe6, relaxed, DFT GGA-PBE" formation_energy_uncorrected_mev_per_atom=-1039 n_ef_per_ev_atom=1.395 pbc="T T T"
Zn -1.5966 4.1436 0.2708
Se -1.5185 2.0961 1.6619
Cs 2.9671 -0.1489 4.7973
Se -3.4094 3.1719 4.8998
Se -4.5842 4.2652 0.8603
Se -4.3188 -0.4079 3.8486
Np -4.3244 1.9738 2.4137
Cs -4.7017 -2.8703 1.2228
Se -0.3436 1.0028 5.7014
Se -0.6091 5.6759 2.7131
Np -0.6035 3.2942 4.1480